Record 1
Below is an optimized crystal structure of RbDySiSe3, with properties calculated at the PBE level.

```
RbDySiSe3
1.0
2.2790 -7.2810 0.0000
2.2790 7.2810 0.0000
0.0000 0.0000 11.1792
Rb Dy Si Se
2 2 2 6
Cartesian
2.2790 3.7534 8.3844 Rb
2.2790 -3.7534 2.7948 Rb
2.2790 0.0000 0.0000 Dy
2.2790 0.0000 5.5896 Dy
2.2790 6.8323 2.7948 Si
2.2790 -6.8323 8.3844 Si
2.2790 5.5141 0.6446 Se
2.2790 5.5141 4.9450 Se
2.2790 0.6696 2.7948 Se
2.2790 -0.6696 8.3844 Se
2.2790 -5.5141 6.2342 Se
2.2790 -5.5141 10.5346 Se
```

Results
E_tot = -4.592 eV/atom
SG = Cmcm (63)

Record 2
Below is an optimized crystal structure of RbSmDySe3, with properties calculated at the PBE level.

```
RbSmDySe3
1.0
2.2947 -7.8674 0.0000
2.2947 7.8674 0.0000
0.0000 0.0000 11.3523
Rb Sm Dy Se
2 2 2 6
Cartesian
2.2947 4.0952 8.5142 Rb
2.2947 -4.0952 2.8381 Rb
2.2947 0.0000 0.0000 Sm
2.2947 0.0000 5.6761 Sm
2.2947 7.3768 2.8381 Dy
2.2947 -7.3768 8.5142 Dy
2.2947 5.9421 0.5493 Se
2.2947 5.9421 5.1269 Se
2.2947 0.9961 2.8381 Se
2.2947 -0.9961 8.5142 Se
2.2947 -5.9421 6.2254 Se
2.2947 -5.9421 10.8030 Se
```

Results
E_tot = -5.008 eV/atom
SG = Cmcm (63)